Here is a relaxed Hf2PaPd crystal from Alexandria via LeMat-Bulk. Energies are from PBE.

Its size of the total moment is 0.00 μB/atom. The calculated formation energy is -158.6 meV per atom. The polymorph energy (0 for the lowest one) comes out at 0.118 eV/atom.

The structure belongs to space group R-3m (No. 166, hexagonal axes); the cell edges are 3.2092, 3.2092 and 28.8300 Å and the angles 90.00°, 90.00° and 120.00°. The asymmetric unit holds Hf at (0.0000, 0.0000, 0.2417), Pa at (0.0000, 0.0000, 0.0000) and Pd at (0.0000, 0.0000, 0.5000).